(1)
Density functional theory data (PBE-GGA) for an optimized crystal structure of RbZnNiRh2.

```
data_RbZnNiRh2
_space_group_name_H-M_alt 'P 4/m m m'
_space_group_IT_number 123
_space_group_name_Hall '-P 4 2'
_cell_length_a 4.804
_cell_length_b 4.804
_cell_length_c 5.274
_cell_angle_alpha 90.00
_cell_angle_beta 90.00
_cell_angle_gamma 90.00
loop_
_atom_site_label
_atom_site_type_symbol
_atom_site_fract_x
_atom_site_fract_y
_atom_site_fract_z
Rb1 Rb 0.000 0.000 0.000
Zn1 Zn 0.000 0.000 0.500
Ni1 Ni 0.500 0.500 0.500
Rh1 Rh 0.000 0.500 0.000
```

(2)
Density functional theory data (PBE-GGA) for an optimized crystal structure of RbNi2Ru.

```
data_RbNi2Ru
_space_group_name_H-M_alt 'I 41/a m d'
_space_group_IT_number 141
_cell_length_a 5.170
_cell_length_b 5.170
_cell_length_c 15.128
_cell_angle_alpha 90.00
_cell_angle_beta 90.00
_cell_angle_gamma 90.00
loop_
_space_group_symop_operation_xyz
'x,y,z'
'-x,-y,-z'
'-y+1/4,x+3/4,z+1/4'
'y+1/4,-x+3/4,-z+1/4'
'-x+1/2,-y,z+1/2'
'x+1/2,y,-z+1/2'
'y+1/4,-x+1/4,z+3/4'
'-y+1/4,x+1/4,-z+3/4'
'x,-y,-z'
'-x,y,z'
'-y+1/4,-x+1/4,-z+3/4'
'y+1/4,x+1/4,z+3/4'
'-x+1/2,y,-z+1/2'
'x+1/2,-y,z+1/2'
'y+1/4,x+3/4,-z+1/4'
'-y+1/4,-x+3/4,z+1/4'
'x+1/2,y+1/2,z+1/2'
'-x+1/2,-y+1/2,-z+1/2'
'-y+3/4,x+1/4,z+3/4'
'y+3/4,-x+1/4,-z+3/4'
'-x,-y+1/2,z'
'x,y+1/2,-z'
'y+3/4,-x+3/4,z+1/4'
'-y+3/4,x+3/4,-z+1/4'
'x+1/2,-y+1/2,-z+1/2'
'-x+1/2,y+1/2,z+1/2'
'-y+3/4,-x+3/4,-z+1/4'
'y+3/4,x+3/4,z+1/4'
'-x,y+1/2,-z'
'x,-y+1/2,z'
'y+3/4,x+1/4,-z+3/4'
'-y+3/4,-x+1/4,z+3/4'
loop_
_atom_site_label
_atom_site_type_symbol
_atom_site_fract_x
_atom_site_fract_y
_atom_site_fract_z
Rb1 Rb 0.000 0.250 0.375
Ni1 Ni 0.000 0.000 0.000
Ru1 Ru 0.000 0.250 0.875
```

(3)
Density functional theory data (PBE-GGA) for an optimized crystal structure of RbNi3Ru.

```
data_RbNi3Ru
_space_group_name_H-M_alt 'P m -3 m'
_space_group_IT_number 221
_space_group_name_Hall '-P 4 2 3'
_cell_length_a 4.510
_cell_length_b 4.510
_cell_length_c 4.510
_cell_angle_alpha 90.00
_cell_angle_beta 90.00
_cell_angle_gamma 90.00
loop_
_atom_site_label
_atom_site_type_symbol
_atom_site_fract_x
_atom_site_fract_y
_atom_site_fract_z
Rb1 Rb 0.000 0.000 0.000
Ni1 Ni 0.000 0.000 0.500
Ru1 Ru 0.500 0.500 0.500
```

(4)
Density functional theory data (PBE-GGA) for an optimized crystal structure of RbNiRu3.

```
data_RbNiRu3
_space_group_name_H-M_alt 'P m -3 m'
_space_group_IT_number 221
_space_group_name_Hall '-P 4 2 3'
_cell_length_a 4.642
_cell_length_b 4.642
_cell_length_c 4.642
_cell_angle_alpha 90.00
_cell_angle_beta 90.00
_cell_angle_gamma 90.00
loop_
_atom_site_label
_atom_site_type_symbol
_atom_site_fract_x
_atom_site_fract_y
_atom_site_fract_z
Rb1 Rb 0.000 0.000 0.000
Ni1 Ni 0.500 0.500 0.500
Ru1 Ru 0.000 0.500 0.500
```

(5)
Density functional theory data (PBE-GGA) for an optimized crystal structure of RbNiRu3.

```
data_RbNiRu3
_space_group_name_H-M_alt 'P m -3 m'
_space_group_IT_number 221
_space_group_name_Hall '-P 4 2 3'
_cell_length_a 4.707
_cell_length_b 4.707
_cell_length_c 4.707
_cell_angle_alpha 90.00
_cell_angle_beta 90.00
_cell_angle_gamma 90.00
loop_
_atom_site_label
_atom_site_type_symbol
_atom_site_fract_x
_atom_site_fract_y
_atom_site_fract_z
Rb1 Rb 0.000 0.000 0.000
Ni1 Ni 0.500 0.500 0.500
Ru1 Ru 0.000 0.000 0.500
```

(6)
Density functional theory data (PBE-GGA) for an optimized crystal structure of RbNi3Ru.

```
data_RbNi3Ru
_space_group_name_H-M_alt 'P m -3 m'
_space_group_IT_number 221
_space_group_name_Hall '-P 4 2 3'
_cell_length_a 4.676
_cell_length_b 4.676
_cell_length_c 4.676
_cell_angle_alpha 90.00
_cell_angle_beta 90.00
_cell_angle_gamma 90.00
loop_
_atom_site_label
_atom_site_type_symbol
_atom_site_fract_x
_atom_site_fract_y
_atom_site_fract_z
Rb1 Rb 0.000 0.000 0.000
Ni1 Ni 0.000 0.500 0.500
Ru1 Ru 0.500 0.500 0.500
```

(7)
Density functional theory data (PBE-GGA) for an optimized crystal structure of RbNi2Ru.

```
data_RbNi2Ru
_space_group_name_H-M_alt 'F m -3 m'
_space_group_IT_number 225
_space_group_name_Hall '-F 4 2 3'
_cell_length_a 6.509
_cell_length_b 6.509
_cell_length_c 6.509
_cell_angle_alpha 90.00
_cell_angle_beta 90.00
_cell_angle_gamma 90.00
loop_
_atom_site_label
_atom_site_type_symbol
_atom_site_fract_x
_atom_site_fract_y
_atom_site_fract_z
Rb1 Rb 0.000 0.000 0.000
Ni1 Ni 0.250 0.250 0.250
Ru1 Ru 0.000 0.000 0.500
```

(8)
Density functional theory data (PBE-GGA) for an optimized crystal structure of Rb2NiRu2.

```
data_Rb2NiRu2
_space_group_name_H-M_alt 'I 4/m m m'
_space_group_IT_number 139
_space_group_name_Hall '-I 4 2'
_cell_length_a 3.463
_cell_length_b 3.463
_cell_length_c 22.492
_cell_angle_alpha 90.00
_cell_angle_beta 90.00
_cell_angle_gamma 90.00
loop_
_atom_site_label
_atom_site_type_symbol
_atom_site_fract_x
_atom_site_fract_y
_atom_site_fract_z
Rb1 Rb 0.000 0.000 0.107
Ni1 Ni 0.000 0.000 0.500
Ru1 Ru 0.000 0.500 0.250
```

(9)
Density functional theory data (PBE-GGA) for an optimized crystal structure of Rb2NiRu.

```
data_Rb2NiRu
_space_group_name_H-M_alt 'F m -3 m'
_space_group_IT_number 225
_space_group_name_Hall '-F 4 2 3'
_cell_length_a 8.139
_cell_length_b 8.139
_cell_length_c 8.139
_cell_angle_alpha 90.00
_cell_angle_beta 90.00
_cell_angle_gamma 90.00
loop_
_atom_site_label
_atom_site_type_symbol
_atom_site_fract_x
_atom_site_fract_y
_atom_site_fract_z
Rb1 Rb 0.250 0.250 0.250
Ni1 Ni 0.000 0.000 0.000
Ru1 Ru 0.000 0.000 0.500
```

(10)
Density functional theory data (PBE-GGA) for an optimized crystal structure of Rb2NiRu.

```
data_Rb2NiRu
_space_group_name_H-M_alt 'I -4 2 d'
_space_group_IT_number 122
_space_group_name_Hall 'I -4 2bw'
_cell_length_a 12.570
_cell_length_b 12.570
_cell_length_c 4.500
_cell_angle_alpha 90.00
_cell_angle_beta 90.00
_cell_angle_gamma 90.00
loop_
_atom_site_label
_atom_site_type_symbol
_atom_site_fract_x
_atom_site_fract_y
_atom_site_fract_z
Rb1 Rb 0.068 0.250 0.125
Ni1 Ni 0.000 0.000 0.000
Ru1 Ru 0.000 0.000 0.500
```

(11)
Density functional theory data (PBE-GGA) for an optimized crystal structure of Rb3NiRu.

```
data_Rb3NiRu
_space_group_name_H-M_alt 'P m -3 m'
_space_group_IT_number 221
_space_group_name_Hall '-P 4 2 3'
_cell_length_a 6.307
_cell_length_b 6.307
_cell_length_c 6.307
_cell_angle_alpha 90.00
_cell_angle_beta 90.00
_cell_angle_gamma 90.00
loop_
_atom_site_label
_atom_site_type_symbol
_atom_site_fract_x
_atom_site_fract_y
_atom_site_fract_z
Rb1 Rb 0.000 0.000 0.500
Ni1 Ni 0.000 0.000 0.000
Ru1 Ru 0.500 0.500 0.500
```

(12)
Density functional theory data (PBE-GGA) for an optimized crystal structure of RbVNiRu2.

```
data_RbVNiRu2
_space_group_name_H-M_alt 'P 4/m m m'
_space_group_IT_number 123
_space_group_name_Hall '-P 4 2'
_cell_length_a 4.621
_cell_length_b 4.621
_cell_length_c 4.446
_cell_angle_alpha 90.00
_cell_angle_beta 90.00
_cell_angle_gamma 90.00
loop_
_atom_site_label
_atom_site_type_symbol
_atom_site_fract_x
_atom_site_fract_y
_atom_site_fract_z
Rb1 Rb 0.000 0.000 0.000
V1 V 0.000 0.000 0.500
Ni1 Ni 0.500 0.500 0.500
Ru1 Ru 0.000 0.500 0.000
```

Table of total DFT energy (no corrections) (eV/cell), in record order: -11.2 -71.0 -14.9 -25.8 -18.3 -22.2 -65.0 -42.1 -40.9 -51.1 -11.0 -19.1